Below is a geometry-optimized NaZn2P2HO8 structure, with properties calculated at the PBE level.

```
NaZn2P2HO8
1.0
5.178 0.000 0.000
-2.462 8.384 0.000
-1.582 -1.626 8.677
Na Zn P H O
2 4 4 2 16
direct
0.091 0.314 0.313
0.909 0.686 0.687
0.177 0.883 0.107
0.277 0.386 0.742
0.723 0.614 0.258
0.823 0.117 0.893
0.343 0.747 0.416
0.407 0.250 0.061
0.593 0.750 0.939
0.657 0.253 0.584
0.421 0.933 0.621
0.579 0.067 0.379
0.088 0.597 0.345
0.223 0.239 0.895
0.224 0.115 0.129
0.296 0.817 0.579
0.311 0.770 0.951
0.370 0.883 0.319
0.392 0.303 0.556
0.440 0.411 0.165
0.560 0.589 0.835
0.608 0.697 0.444
0.630 0.117 0.681
0.689 0.230 0.049
0.704 0.183 0.421
0.776 0.885 0.871
0.777 0.761 0.105
0.912 0.403 0.655
```

## Properties
- SG: No. 2
- Total DFT energy (no corrections): -6.079 eV/atom

=====

Below is a geometry-optimized Na4ZnP6H12O24 structure, with properties calculated at the PBE level.

```
Na4ZnP6H12O24
1.0
7.448 0.000 0.000
2.824 8.753 0.000
2.417 3.504 8.381
Na Zn P H O
4 1 6 12 24
direct
0.127 0.222 0.023
0.348 0.847 0.906
0.652 0.153 0.094
0.873 0.778 0.977
0.500 0.000 0.500
0.189 0.758 0.626
0.350 0.874 0.286
0.460 0.434 0.759
0.540 0.566 0.241
0.650 0.126 0.714
0.811 0.242 0.374
0.019 0.887 0.176
0.160 0.163 0.702
0.176 0.210 0.413
0.220 0.579 0.142
0.246 0.529 0.000
0.308 0.315 0.417
0.692 0.685 0.583
0.754 0.471 0.000
0.780 0.421 0.858
0.824 0.790 0.587
0.840 0.837 0.298
0.981 0.113 0.824
0.014 0.227 0.295
0.113 0.118 0.818
0.178 0.620 0.036
0.186 0.823 0.437
0.262 0.925 0.139
0.265 0.208 0.478
0.286 0.563 0.665
0.318 0.837 0.657
0.365 0.497 0.292
0.385 0.362 0.934
0.441 0.994 0.295
0.488 0.296 0.685
0.512 0.704 0.315
0.559 0.006 0.705
0.615 0.638 0.066
0.635 0.503 0.708
0.682 0.163 0.343
0.714 0.437 0.335
0.735 0.792 0.522
0.738 0.075 0.861
0.814 0.177 0.563
0.822 0.380 0.964
0.887 0.882 0.182
0.986 0.773 0.705
```

## Properties
- SG: No. 2
- Total DFT energy (no corrections): -5.958 eV/atom

=====

Below is a geometry-optimized Na2ZnP2H10O12 structure, with properties calculated at the PBE level.

```
Na2ZnP2H10O12
1.0
9.028 0.000 0.000
0.000 13.495 0.000
-4.659 0.000 9.089
Na Zn P H O
8 4 8 40 48
direct
0.171 0.037 0.364
0.171 0.463 0.864
0.321 0.230 0.204
0.321 0.270 0.704
0.679 0.730 0.296
0.679 0.770 0.796
0.829 0.537 0.136
0.829 0.963 0.636
0.398 0.659 0.457
0.398 0.841 0.957
0.602 0.159 0.043
0.602 0.341 0.543
0.253 0.060 0.884
0.253 0.440 0.384
0.267 0.686 0.699
0.267 0.814 0.199
0.733 0.186 0.801
0.733 0.314 0.301
0.747 0.560 0.616
0.747 0.940 0.116
0.006 0.142 0.778
0.006 0.358 0.278
0.036 0.203 0.436
0.036 0.297 0.936
0.045 0.667 0.403
0.045 0.833 0.903
0.081 0.133 0.573
0.081 0.367 0.073
0.095 0.106 0.081
0.095 0.394 0.581
0.251 0.648 0.049
0.251 0.852 0.549
0.275 0.560 0.160
0.275 0.940 0.660
0.280 0.525 0.643
0.280 0.975 0.143
0.464 0.154 0.510
0.464 0.346 0.010
0.477 0.588 0.082
0.477 0.912 0.582
0.523 0.088 0.418
0.523 0.412 0.918
0.536 0.654 0.990
0.536 0.846 0.490
0.720 0.025 0.857
0.720 0.475 0.357
0.725 0.060 0.340
0.725 0.440 0.840
0.749 0.148 0.451
0.749 0.352 0.951
0.905 0.606 0.419
0.905 0.894 0.919
0.919 0.633 0.927
0.919 0.867 0.427
0.955 0.167 0.097
0.955 0.333 0.597
0.964 0.703 0.064
0.964 0.797 0.564
0.994 0.642 0.722
0.994 0.858 0.222
0.066 0.138 0.153
0.066 0.362 0.653
0.073 0.088 0.754
0.073 0.412 0.254
0.103 0.716 0.699
0.103 0.784 0.199
0.125 0.160 0.509
0.125 0.340 0.009
0.248 0.058 0.032
0.248 0.442 0.532
0.259 0.711 0.547
0.259 0.789 0.047
0.268 0.576 0.062
0.268 0.924 0.562
0.294 0.541 0.337
0.294 0.959 0.837
0.298 0.571 0.730
0.298 0.929 0.230
0.375 0.141 0.883
0.375 0.359 0.383
0.419 0.739 0.825
0.419 0.761 0.325
0.423 0.121 0.414
0.423 0.379 0.914
0.577 0.621 0.086
0.577 0.879 0.586
0.581 0.239 0.675
0.581 0.261 0.175
0.625 0.641 0.617
0.625 0.859 0.117
0.702 0.071 0.770
0.702 0.429 0.270
0.706 0.041 0.163
0.706 0.459 0.663
0.732 0.076 0.438
0.732 0.424 0.938
0.741 0.211 0.953
0.741 0.289 0.453
0.752 0.558 0.468
0.752 0.942 0.968
0.875 0.660 0.991
0.875 0.840 0.491
0.897 0.216 0.801
0.897 0.284 0.301
0.927 0.588 0.746
0.927 0.912 0.246
0.934 0.638 0.347
0.934 0.862 0.847
```

## Properties
- SG: No. 14
- Total DFT energy (no corrections): -5.532 eV/atom